! Ce2Pm4Sn5 | Alexandria via LeMat-Bulk | PBE-GGA | relaxed; values from VASP
&SYSTEM
  ibrav = 0, nat = 11, ntyp = 3
/
ATOMIC_SPECIES
Ce 140.12 Ce.upf
Pm 145.00 Pm.upf
Sn 118.71 Sn.upf
CELL_PARAMETERS angstrom
12.231 -1.771 0.000
12.231 1.771 0.000
-0.031 0.000 7.940
ATOMIC_POSITIONS angstrom
Ce 2.212 0.000 1.633
Ce 22.219 0.000 6.307
Pm 1.301 0.000 5.406
Pm 7.891 0.000 3.784
Pm 16.540 0.000 4.156
Pm 23.130 0.000 2.534
Sn 4.113 0.000 6.925
Sn 5.473 0.000 1.647
Sn 12.231 0.000 0.000
Sn 18.958 0.000 6.292
Sn 20.318 0.000 1.015
! - M_tot: 3.4 μB per cell
! - Formation enthalpy at 0 K: -0.21 eV/atom